{"formula": "Al3BiO", "functional": "PBE", "state": "relaxed", "total_magnetization_mub_per_fu": 0.0, "raw_formation_energy_ev_per_atom": -0.2391, "relative_energy_ev_per_atom": 0.000, "lattice": [[4.5080, 0.0000, 0.0000], [0.0000, 4.5080, 0.0000], [0.0000, 0.0000, 4.5080]], "species": ["Bi", "O", "Al", "Al", "Al"], "fractional_positions": [[0.5000, 0.5000, 0.5000], [0.0000, 0.0000, 0.0000], [0.0000, 0.5000, 0.0000], [0.0000, 0.0000, 0.5000], [0.5000, 0.0000, 0.0000]]}